Cu3Ag2: relaxed, PBE.

POSCAR file:
```
Cu3Ag2
1.0
-6.588 7.289 -0.687
6.381 -6.807 -3.155
-2.822 -2.566 -0.171
Ag Cu
4 6
Cartesian
-6.773 4.674 -1.006
-4.083 1.751 -1.518
1.055 -3.834 -2.495
3.744 -6.758 -3.007
0.000 0.000 0.000
-4.018 4.496 -1.176
-1.302 1.544 -1.693
1.095 -1.061 -2.149
3.812 -4.014 -2.666
-1.514 -1.042 -2.006
```

Properties
Energy relative to the lowest polymorph listed for this composition, meV/atom: 53
DFT total energy, eV per formula unit: -16.32
Formation energy, eV per formula unit: 0.5
Density, g/cm³: 9.44
Calculated volume, Å³/f.u.: 71

---

Cu4Ag5: relaxed, PBE.

POSCAR file:
```
Cu4Ag5
1.0
2.599 -11.431 7.338
0.307 -9.050 10.454
-3.127 9.106 -9.929
Ag Cu
5 4
Cartesian
0.000 0.000 0.000
0.633 -4.465 3.878
1.266 -8.926 7.753
1.639 -11.555 10.038
2.272 -16.016 13.913
0.345 -2.436 2.116
0.978 -6.896 5.990
1.927 -13.585 11.801
2.560 -18.045 15.676
```

Properties
Energy relative to the lowest polymorph listed for this composition, meV/atom: 43
DFT total energy, eV per formula unit: -28.26
Formation energy, eV per formula unit: 0.7
Density, g/cm³: 9.56
Calculated volume, Å³/f.u.: 138

---

CuAg: relaxed, PBE.

POSCAR file:
```
CuAg
1.0
-3.449 3.225 1.413
-3.399 1.163 3.375
8.000 3.371 3.337
Ag Cu
4 4
Cartesian
-2.112 1.892 2.043
-3.424 5.022 5.366
4.576 2.737 2.759
3.264 5.867 6.082
0.674 1.264 1.311
-0.966 4.258 4.500
2.118 3.501 3.625
0.478 6.495 6.813
```

Properties
DFT total energy, eV per formula unit: -6.37
Formation energy, eV per formula unit: 0.2
Density, g/cm³: 9.47
Calculated volume, Å³/f.u.: 30

---

Cu7Ag2: relaxed, PBE.

POSCAR file:
```
Cu7Ag2
1.0
-2.615 -0.009 -0.612
1.822 -0.573 -1.887
-1.025 -18.576 4.650
Ag Cu
2 7
Cartesian
-0.175 -3.177 0.795
-0.850 -15.399 3.855
0.290 -1.347 -1.221
-1.433 -5.592 0.314
-0.061 -7.718 0.374
-0.512 -9.288 2.325
-1.756 -11.440 1.778
-0.384 -13.565 1.837
-2.107 -17.810 3.372
```

Properties
Energy relative to the lowest polymorph listed for this composition, meV/atom: 45
DFT total energy, eV per formula unit: -30.85
Formation energy, eV per formula unit: 0.8
Density, g/cm³: 9.16
Calculated volume, Å³/f.u.: 120